[1]
DFT (SCAN) results for a crystal of ZnP2H11C2NO8 relaxed with PBEsol.

The structure in POSCAR format:
```
ZnP2H11C2NO8
1.0
6.351 -5.351 0.000
6.351 5.351 0.000
-2.234 0.000 14.380
Zn P H C N O
4 8 44 8 4 32
Cartesian
5.233 4.061 7.190 Zn
8.269 1.376 8.374 Zn
6.351 -4.061 0.000 Zn
9.386 -1.376 1.184 Zn
0.838 1.200 13.834 P
1.955 -1.200 6.644 P
5.187 1.319 8.909 P
6.304 -1.319 1.719 P
7.938 0.192 12.808 P
9.055 -0.192 5.618 P
10.781 0.269 9.966 P
11.898 -0.269 2.776 P
1.690 2.322 9.680 H
1.762 2.740 12.477 H
1.905 1.726 4.015 H
1.408 1.312 7.526 H
3.816 2.559 5.138 H
3.291 1.650 2.870 H
6.651 4.351 4.617 H
4.316 2.889 10.286 H
4.732 3.601 13.318 H
7.439 4.151 1.181 H
3.423 1.045 5.781 H
2.742 0.163 3.723 H
1.625 -0.163 10.913 H
6.472 2.268 0.050 H
2.525 -1.312 0.336 H
5.582 1.606 3.800 H
0.788 -1.726 11.205 H
4.854 0.006 0.766 H
3.737 -0.006 7.956 H
5.787 1.225 5.554 H
5.733 2.114 13.454 H
2.305 -1.045 12.971 H
2.173 -1.650 10.060 H
7.756 1.948 2.165 H
4.027 0.022 11.614 H
5.144 -0.022 4.424 H
2.807 -2.322 2.490 H
2.879 -2.740 5.287 H
9.253 1.767 1.200 H
6.861 0.914 10.892 H
2.699 -2.559 12.328 H
4.465 -1.606 10.990 H
4.669 -1.225 12.744 H
5.355 -2.268 7.240 H
5.433 -2.889 3.096 H
7.978 -0.914 3.702 H
10.489 1.038 4.255 H
6.850 -2.114 6.264 H
6.638 -1.948 9.355 H
5.849 -3.601 6.128 H
8.136 -1.767 8.390 H
9.372 -1.038 11.445 H
5.534 -4.351 11.807 H
6.322 -4.151 8.371 H
2.874 1.251 3.805 C
5.089 2.817 14.003 C
5.176 1.051 4.658 C
1.757 -1.251 10.995 C
8.600 2.487 1.714 C
4.059 -1.051 11.848 C
6.207 -2.817 6.813 C
7.483 -2.487 8.904 C
3.801 1.528 4.921 N
8.083 3.451 0.722 N
2.684 -1.528 12.111 N
6.966 -3.451 7.912 N
-0.086 0.023 1.441 O
-1.203 -0.023 8.631 O
-0.614 0.963 13.318 O
3.090 2.141 0.645 O
4.087 4.301 10.716 O
1.700 1.734 12.630 O
6.616 4.270 3.589 O
0.503 -0.963 6.128 O
2.580 0.164 7.019 O
4.314 1.873 10.084 O
5.142 2.213 7.679 O
1.462 -0.164 14.209 O
2.818 -1.734 5.440 O
1.973 -2.141 7.835 O
5.702 0.078 1.372 O
4.584 -0.078 8.562 O
6.624 1.079 9.422 O
6.853 0.889 11.928 O
5.431 -1.873 2.894 O
6.259 -2.213 0.489 O
9.562 1.118 4.912 O
8.364 0.144 6.924 O
7.742 -1.079 2.232 O
7.246 -0.144 14.114 O
9.533 1.126 9.793 O
9.121 1.162 12.982 O
7.970 -0.889 4.738 O
5.204 -4.301 3.526 O
8.445 -1.118 12.102 O
5.499 -4.270 10.779 O
10.651 -1.126 2.603 O
10.238 -1.162 5.792 O
```

The calculation puts the total energy at -7.26 eV/atom. For the density of states at the Fermi level, the calculation gives 0.0 states/eV/f.u.

---

[2]
DFT (SCAN) results for a crystal of H12PdC4N2O10 relaxed with PBEsol.

The structure in POSCAR format:
```
H12PdC4N2O10
1.0
7.103 0.000 0.000
0.000 13.670 0.000
-2.583 0.000 5.874
H Pd C N O
24 2 8 4 20
Cartesian
-0.336 1.472 0.899 H
-1.627 5.363 3.836 H
0.328 2.802 0.088 H
-0.964 4.033 3.025 H
-0.900 8.360 3.740 H
0.392 12.145 0.803 H
0.054 9.480 2.824 H
-1.237 11.025 5.761 H
2.470 9.200 0.361 H
1.178 11.305 3.298 H
2.067 9.995 3.175 H
3.359 10.510 0.238 H
1.161 3.160 5.636 H
2.453 3.675 2.699 H
3.342 2.365 2.576 H
2.050 4.470 5.512 H
5.757 2.645 0.113 H
4.465 4.190 3.049 H
4.128 1.525 5.071 H
5.420 5.310 2.134 H
5.484 9.637 2.849 H
4.192 10.868 5.786 H
6.147 8.307 2.038 H
4.856 12.198 4.975 H
3.552 0.000 0.000 Pd
2.260 6.835 2.937 Pd
0.351 0.129 3.168 C
1.642 6.706 0.231 C
0.161 1.552 3.715 C
1.452 5.283 0.778 C
3.067 8.387 5.096 C
4.359 12.118 2.159 C
2.877 6.963 5.642 C
4.169 13.541 2.705 C
-0.855 8.925 2.868 N
-2.146 11.580 5.805 N
6.666 2.090 0.069 N
5.374 4.745 3.006 N
-1.180 6.949 4.913 O
0.112 13.555 1.976 O
-0.152 2.464 2.947 O
1.140 4.371 0.010 O
2.061 7.581 1.093 O
0.769 12.924 4.030 O
0.359 1.681 4.993 O
1.651 5.154 2.056 O
0.081 9.975 5.651 O
1.372 10.530 2.714 O
3.147 3.140 3.160 O
4.439 3.695 0.223 O
2.869 8.516 3.818 O
4.161 11.989 0.881 O
3.750 0.746 1.843 O
2.459 6.089 4.780 O
3.380 9.299 5.864 O
4.672 11.206 2.927 O
4.408 0.115 3.898 O
5.700 6.720 0.961 O
```

The calculation puts the total energy at -7.64 eV/atom. For the density of states at the Fermi level, the calculation gives 0.0 states/eV/f.u.

---

[3]
DFT (SCAN) results for a crystal of RbH3CN2O relaxed with PBEsol.

The structure in POSCAR format:
```
RbH3CN2O
1.0
7.146 0.000 0.000
0.000 7.282 0.000
0.000 0.000 13.806
Rb H C N O
8 24 8 16 8
Cartesian
0.709 0.315 2.652 Rb
0.709 3.326 9.555 Rb
2.863 3.956 2.652 Rb
2.863 6.967 9.555 Rb
4.282 0.315 4.250 Rb
4.282 3.326 11.153 Rb
6.436 3.956 4.250 Rb
6.436 6.967 11.153 Rb
0.790 0.602 7.527 H
0.790 3.039 0.624 H
1.188 4.663 12.195 H
1.188 6.260 5.292 H
1.518 5.451 0.449 H
1.518 5.472 7.351 H
2.054 1.810 0.449 H
2.054 1.831 7.351 H
2.384 1.022 12.195 H
2.384 2.619 5.292 H
2.783 4.243 7.527 H
2.783 6.680 0.624 H
4.363 0.602 13.181 H
4.363 3.039 6.279 H
4.761 4.663 8.514 H
4.761 6.260 1.611 H
5.091 5.451 6.454 H
5.091 5.472 13.357 H
5.627 1.810 6.454 H
5.627 1.831 13.357 H
5.957 1.022 8.514 H
5.957 2.619 1.611 H
6.355 4.243 13.181 H
6.355 6.680 6.279 H
0.861 1.499 5.678 C
0.861 2.142 12.581 C
2.712 5.140 5.678 C
2.712 5.783 12.581 C
4.434 1.499 1.225 C
4.434 2.142 8.127 C
6.285 5.140 1.225 C
6.285 5.783 8.127 C
1.160 1.433 7.025 N
1.160 2.208 0.122 N
1.586 1.459 11.710 N
1.586 2.182 4.807 N
1.986 5.100 11.710 N
1.986 5.823 4.807 N
2.413 5.074 7.025 N
2.413 5.849 0.122 N
4.732 1.433 13.683 N
4.732 2.208 6.780 N
5.159 1.459 8.998 N
5.159 2.182 2.095 N
5.559 5.100 8.998 N
5.559 5.823 2.095 N
5.986 5.074 13.683 N
5.986 5.849 6.780 N
0.230 4.523 1.591 O
0.230 6.399 8.494 O
3.343 0.882 1.591 O
3.343 2.758 8.494 O
3.803 4.523 5.311 O
3.803 6.399 12.214 O
6.916 0.882 5.311 O
6.916 2.758 12.214 O
```

The calculation puts the total energy at -8.99 eV/atom. For the density of states at the Fermi level, the calculation gives 0.0 states/eV/f.u.

---

[4]
DFT (SCAN) results for a crystal of ReH6CN3O4 relaxed with PBEsol.

The structure in POSCAR format:
```
ReH6CN3O4
1.0
4.989 0.000 0.000
0.943 7.817 0.000
0.075 2.192 8.094
Re H C N O
2 12 2 6 8
Cartesian
0.285 2.614 2.601 Re
5.723 7.395 5.494 Re
1.049 2.538 6.182 H
1.160 2.998 7.903 H
2.084 4.891 0.681 H
2.170 5.487 2.810 H
2.649 3.339 4.690 H
3.216 7.820 7.553 H
2.792 2.189 0.542 H
3.359 6.670 3.404 H
3.838 4.522 5.285 H
3.923 5.118 7.413 H
4.848 7.011 0.191 H
4.959 7.471 1.912 H
2.564 3.798 6.683 C
3.444 6.211 1.411 C
1.561 2.967 6.958 N
2.868 5.503 0.434 N
2.993 6.072 2.660 N
3.014 3.937 5.434 N
3.140 4.506 7.660 N
4.446 7.042 1.137 N
0.891 4.139 1.996 O
0.844 2.379 4.239 O
0.811 1.320 1.550 O
2.474 7.324 5.513 O
3.533 2.685 2.581 O
5.197 8.689 6.544 O
5.164 7.630 3.855 O
5.116 5.870 6.099 O
```

The calculation puts the total energy at -11.14 eV/atom. For the density of states at the Fermi level, the calculation gives 0.0 states/eV/f.u.

---

[5]
DFT (SCAN) results for a crystal of SmH6C2SNO9 relaxed with PBEsol.

The structure in POSCAR format:
```
SmH6C2SNO9
1.0
6.616 0.000 0.000
0.000 8.721 0.000
-5.643 0.000 13.382
Sm H C S N O
4 24 8 4 4 36
Cartesian
-1.211 2.163 5.548 Sm
-4.033 2.198 12.239 Sm
5.006 6.523 1.143 Sm
2.185 6.558 7.834 Sm
0.982 0.235 1.184 H
-1.839 4.125 7.875 H
-1.122 0.548 8.405 H
1.699 3.813 1.714 H
1.609 2.177 2.108 H
-1.213 2.183 8.799 H
-2.029 5.684 10.923 H
0.793 7.397 4.232 H
-1.303 1.013 10.030 H
1.518 3.348 3.339 H
2.572 0.300 1.165 H
-0.250 4.061 7.856 H
1.223 4.660 5.526 H
-1.598 8.421 12.217 H
-0.545 5.373 10.043 H
2.276 7.708 3.352 H
0.181 1.324 9.149 H
3.002 3.037 2.458 H
2.186 6.537 4.583 H
-0.635 6.543 11.274 H
-0.726 4.908 11.668 H
2.096 8.173 4.977 H
2.813 4.596 5.507 H
-0.009 8.485 12.198 H
-0.724 0.360 2.933 C
-3.545 4.000 9.624 C
-0.582 4.669 3.564 C
-3.403 8.412 10.255 C
4.377 0.309 3.127 C
1.555 4.052 9.818 C
4.519 4.720 3.757 C
1.697 8.361 10.448 C
-3.943 5.797 12.950 S
-1.121 7.283 6.259 S
2.095 1.437 7.123 S
4.916 2.923 0.432 S
-0.864 1.259 9.121 N
1.957 3.101 2.431 N
-0.984 5.620 10.951 N
1.838 7.461 4.260 N
-5.234 6.424 13.313 O
-2.412 6.657 6.622 O
-3.071 4.755 8.712 O
-0.250 8.326 2.021 O
-0.090 5.329 2.618 O
-2.912 7.752 9.309 O
-3.692 5.981 11.511 O
-0.870 7.100 4.820 O
-0.062 1.119 3.682 O
-2.884 3.241 10.373 O
-1.167 0.026 6.581 O
-3.989 4.335 13.272 O
-2.757 0.433 11.073 O
0.064 3.927 4.382 O
1.764 0.746 0.796 O
-1.057 3.614 7.487 O
2.781 6.420 0.373 O
-0.040 6.661 7.064 O
1.014 2.060 6.318 O
-1.808 2.300 13.009 O
2.031 5.106 5.895 O
-0.791 7.975 12.585 O
0.909 4.794 9.000 O
3.731 8.287 2.309 O
4.962 4.386 0.109 O
2.141 8.695 6.800 O
3.857 5.480 3.009 O
1.035 7.601 9.700 O
1.844 1.621 8.562 O
4.665 2.740 1.871 O
3.885 0.968 4.073 O
1.064 3.392 10.764 O
1.223 0.395 11.361 O
4.045 3.966 4.670 O
3.386 2.064 6.760 O
6.207 2.296 0.069 O
```

The calculation puts the total energy at -9.53 eV/atom. For the density of states at the Fermi level, the calculation gives 0.0 states/eV/f.u.

---

[6]
DFT (SCAN) results for a crystal of ZnH12C6S2N10O2 relaxed with PBEsol.

The structure in POSCAR format:
```
ZnH12C6S2N10O2
1.0
9.597 -2.298 0.000
9.597 2.298 0.000
-7.329 0.000 16.910
Zn H C S N O
2 24 12 4 20 4
Cartesian
4.100 1.429 12.682 Zn
7.765 -1.429 4.227 Zn
-2.658 0.151 7.723 H
-6.322 -0.151 16.178 H
3.394 1.269 9.363 H
2.785 0.519 4.158 H
0.717 0.823 12.383 H
0.066 0.493 14.730 H
-0.871 0.336 16.220 H
4.807 1.269 16.002 H
-0.880 -0.519 12.613 H
2.793 -0.336 7.765 H
3.731 -0.493 6.275 H
4.382 -0.823 3.928 H
7.484 0.823 12.981 H
8.135 0.493 10.634 H
9.072 0.336 9.145 H
12.745 0.519 4.297 H
7.059 -1.269 0.908 H
12.737 -0.336 0.690 H
11.799 -0.493 2.179 H
11.148 -0.823 4.526 H
9.081 -0.519 12.751 H
8.471 -1.269 7.547 H
18.188 0.151 0.732 H
14.523 -0.151 9.187 H
6.038 1.286 2.456 C
4.483 0.821 7.688 C
9.492 1.286 5.999 C
6.090 0.355 6.116 C
11.047 0.821 0.767 C
9.440 0.355 2.339 C
2.425 -0.355 14.570 C
0.819 -0.821 16.143 C
5.776 -0.355 10.794 C
2.374 -1.286 10.911 C
7.382 -0.821 9.222 C
5.827 -1.286 14.454 C
5.142 0.216 1.644 S
1.477 -0.216 10.099 S
10.388 0.216 6.811 S
6.724 -0.216 15.265 S
-4.417 0.215 13.865 N
4.221 1.498 8.801 N
-0.753 -0.215 5.410 N
5.643 1.117 7.046 N
3.980 1.498 16.563 N
9.887 1.117 1.409 N
-0.028 0.102 15.687 N
3.636 -0.102 7.232 N
2.919 0.291 13.716 N
5.282 0.291 11.648 N
6.583 -0.291 5.262 N
8.947 -0.291 3.193 N
8.229 0.102 9.678 N
11.893 -0.102 1.223 N
1.979 -1.117 15.501 N
7.885 -1.498 0.346 N
6.222 -1.117 9.863 N
12.618 0.215 11.500 N
7.645 -1.498 8.109 N
16.282 -0.215 3.045 N
-0.090 0.876 12.943 O
3.574 -0.876 4.488 O
8.291 0.876 12.421 O
11.956 -0.876 3.966 O
```

The calculation puts the total energy at -7.57 eV/atom. For the density of states at the Fermi level, the calculation gives 0.0 states/eV/f.u.

---

Question: Which value of density of states at the Fermi level does entry 1 give?
Answer: 0.0 states/eV/f.u.

---

Question: What is the formula in the second record?
Answer: H12PdC4N2O10

---

Question: Look up the density of states at the Fermi level of the first one.
Answer: 0.0 states/eV/f.u.